No. 1
VASP calculation (SCAN) on a PBEsol-optimized structure of RbMgP3.

Results
energy of formation	937	kJ/mol of formula units
E_tot	-47.19	eV for the cell shown
total moment	0.00	μB/f.u.

a = 5.2016 Å, b = 5.2016 Å, c = 5.2016 Å
α = 90.00°, β = 90.00°, γ = 90.00°
Sites, in units of the cell vectors:
P (0.0000, 0.0000, 0.5000)
P (0.5000, 0.0000, 0.0000)
P (0.0000, 0.5000, 0.0000)
Mg (0.5000, 0.5000, 0.5000)
Rb (0.0000, 0.0000, 0.0000)

No. 2
VASP calculation (SCAN) on a PBEsol-optimized structure of Mg2ReP.

Results
energy of formation	-6	kJ/mol of formula units
E_tot	-91.51	eV for the cell shown
total moment	0.00	μB/f.u.

a = 3.0536 Å, b = 4.6829 Å, c = 5.3858 Å
α = 115.77°, β = 106.47°, γ = 90.00°
Sites, in units of the cell vectors:
Re (0.7883, 0.2883, 0.5766)
P (0.4758, 0.4758, 0.9515)
Mg (0.0154, 0.0154, 0.0308)
Mg (0.2205, 0.7205, 0.4411)

No. 3
VASP calculation (SCAN) on a PBEsol-optimized structure of MgReP2.

Results
energy of formation	83	kJ/mol of formula units
E_tot	-96.00	eV for the cell shown
total moment	0.00	μB/f.u.

a = 3.0690 Å, b = 4.2737 Å, c = 4.2737 Å
α = 98.34°, β = 90.00°, γ = 90.00°
Sites, in units of the cell vectors:
Re (0.5000, 0.0000, 0.0000)
P (0.0000, 0.0000, 0.5000)
P (0.0000, 0.5000, 0.0000)
Mg (0.5000, 0.5000, 0.5000)

No. 4
VASP calculation (SCAN) on a PBEsol-optimized structure of MgReP2.

Results
energy of formation	-44	kJ/mol of formula units
E_tot	-97.32	eV for the cell shown
total moment	0.00	μB/f.u.

a = 3.1583 Å, b = 4.4890 Å, c = 4.5661 Å
α = 90.00°, β = 110.24°, γ = 90.00°
Sites, in units of the cell vectors:
P (0.5697, 0.5000, 0.2643)
P (0.9593, 0.0000, 0.0437)
Re (0.6758, 0.0000, 0.4766)
Mg (0.2952, 0.5000, 0.7153)

No. 5
VASP calculation (SCAN) on a PBEsol-optimized structure of MgReP2.

Results
energy of formation	264	kJ/mol of formula units
E_tot	-94.14	eV for the cell shown
total moment	0.00	μB/f.u.

a = 4.3081 Å, b = 4.3081 Å, c = 4.3081 Å
α = 60.00°, β = 60.00°, γ = 60.00°
Sites, in units of the cell vectors:
Re (0.2500, 0.2500, 0.2500)
P (0.7500, 0.7500, 0.7500)
P (0.0000, 0.0000, 0.0000)
Mg (0.5000, 0.5000, 0.5000)

No. 6
VASP calculation (SCAN) on a PBEsol-optimized structure of Mg2PRh2.

Results
energy of formation	-344	kJ/mol of formula units
E_tot	-182.91	eV for the cell shown
total moment	0.00	μB/f.u.

a = 4.2947 Å, b = 6.0261 Å, c = 6.0261 Å
α = 90.00°, β = 90.00°, γ = 90.00°
Sites, in units of the cell vectors:
Mg (0.5000, 0.1629, 0.6629)
Mg (0.5000, 0.3371, 0.1629)
Mg (0.5000, 0.8371, 0.3371)
Mg (0.5000, 0.6629, 0.8371)
Rh (0.0000, 0.6581, 0.1581)
Rh (0.0000, 0.8419, 0.6581)
Rh (0.0000, 0.1581, 0.3419)
Rh (0.0000, 0.3419, 0.8419)
P (0.0000, 0.0000, 0.0000)
P (0.0000, 0.5000, 0.5000)

No. 7
VASP calculation (SCAN) on a PBEsol-optimized structure of MgP2Rh.

Results
energy of formation	-72	kJ/mol of formula units
E_tot	-60.29	eV for the cell shown
total moment	0.00	μB/f.u.

a = 3.1328 Å, b = 4.3187 Å, c = 4.3187 Å
α = 103.94°, β = 90.00°, γ = 90.00°
Sites, in units of the cell vectors:
Rh (0.5000, 0.0000, 0.0000)
Mg (0.5000, 0.5000, 0.5000)
P (0.0000, 0.5000, 0.0000)
P (0.0000, 0.0000, 0.5000)

No. 8
VASP calculation (SCAN) on a PBEsol-optimized structure of MgP2Rh.

Results
energy of formation	66	kJ/mol of formula units
E_tot	-58.86	eV for the cell shown
total moment	0.00	μB/f.u.

a = 4.3365 Å, b = 4.3365 Å, c = 4.3365 Å
α = 60.00°, β = 60.00°, γ = 60.00°
Sites, in units of the cell vectors:
P (0.0000, 0.0000, 0.0000)
P (0.2500, 0.2500, 0.2500)
Mg (0.5000, 0.5000, 0.5000)
Rh (0.7500, 0.7500, 0.7500)

No. 9
VASP calculation (SCAN) on a PBEsol-optimized structure of MgP2Rh.

Results
energy of formation	-85	kJ/mol of formula units
E_tot	-60.42	eV for the cell shown
total moment	0.00	μB/f.u.

a = 2.9147 Å, b = 3.8190 Å, c = 5.3067 Å
α = 90.00°, β = 90.00°, γ = 90.00°
Sites, in units of the cell vectors:
P (0.5000, 0.5000, 0.3066)
P (0.0000, 0.0000, 0.9716)
Mg (0.5000, 0.5000, 0.7943)
Rh (0.0000, 0.0000, 0.4275)

No. 10
VASP calculation (SCAN) on a PBEsol-optimized structure of MgSiPRh2.

Results
E_form (uncorrected)	0.181	eV/atom
E_tot	-92.03	eV for the cell shown
total moment	0.00	μB/f.u.

a = 4.4172 Å, b = 4.4172 Å, c = 4.4650 Å
α = 90.00°, β = 90.00°, γ = 90.00°
Sites, in units of the cell vectors:
Rh (0.0000, 0.5000, 0.0000)
Rh (0.5000, 0.0000, 0.0000)
P (0.0000, 0.0000, 0.5000)
Mg (0.5000, 0.5000, 0.5000)
Si (0.0000, 0.0000, 0.0000)

No. 11
VASP calculation (SCAN) on a PBEsol-optimized structure of MgTcPRh2.

Results
energy of formation	685	kJ/mol of formula units
E_tot	-110.88	eV for the cell shown
total moment	4.69	μB/f.u.

a = 4.4318 Å, b = 4.3981 Å, c = 4.3981 Å
α = 90.00°, β = 90.00°, γ = 90.00°
Last column: magnetic moment on the atom in μB.
Sites, in units of the cell vectors:
Tc (0.5000, 0.5000, 0.5000)  3.51
Mg (0.0000, 0.0000, 0.0000)  0.00
P (0.5000, 0.0000, 0.0000)  0.03
Rh (0.0000, 0.0000, 0.5000)  0.54
Rh (0.0000, 0.5000, 0.0000)  0.54

No. 12
VASP calculation (SCAN) on a PBEsol-optimized structure of Mg2PRu2.

Results
energy of formation	-247	kJ/mol of formula units
E_tot	-185.11	eV for the cell shown
total moment	0.00	μB/f.u.

a = 4.3392 Å, b = 5.9820 Å, c = 5.9820 Å
α = 90.00°, β = 90.00°, γ = 90.00°
Sites, in units of the cell vectors:
P (0.0000, 0.0000, 0.0000)
P (0.0000, 0.5000, 0.5000)
Mg (0.5000, 0.8360, 0.3360)
Mg (0.5000, 0.1640, 0.6640)
Mg (0.5000, 0.3360, 0.1640)
Mg (0.5000, 0.6640, 0.8360)
Ru (0.0000, 0.6515, 0.1515)
Ru (0.0000, 0.3485, 0.8485)
Ru (0.0000, 0.1515, 0.3485)
Ru (0.0000, 0.8485, 0.6515)

total moment of number 6 (Mg2PRh2)?
0.00 μB/f.u.